First-principles (PBE+U) data for an optimized crystal structure of Na2MnFeF6, as listed in Alexandria via LeMat-Bulk.

Properties
E = -5.340 eV per atom

Cell lengths 5.717, 5.722, 5.741 Å; angles 60.37, 61.11, 60.09 degrees
Space group P-1 (No. 2)
Inequivalent atoms, fractional coordinates:
Na (0.225, 0.219, 0.332)
Mn (0.500, 0.500, 0.500)
Fe (0.000, 0.000, 0.000)
F (0.144, 0.766, 0.735)
F (0.233, 0.649, 0.253)
F (0.354, 0.144, 0.736)